[1]
Density functional theory data (GGA-PBE) for a relaxed Np3C crystal.

Energy relative to the elements ... 0.307 eV per atom
Crystal system ... tetragonal
V ... 15.8 Å³/atom

```
data_Np3C
_space_group_name_H-M_alt 'P 4/m m m'
_space_group_IT_number 123
_space_group_name_Hall '-P 4 2'
_cell_length_a 3.621
_cell_length_b 3.621
_cell_length_c 4.817
_cell_angle_alpha 90.00
_cell_angle_beta 90.00
_cell_angle_gamma 90.00
loop_
_atom_site_label
_atom_site_type_symbol
_atom_site_fract_x
_atom_site_fract_y
_atom_site_fract_z
Np1 Np 0.000 0.000 0.000
Np2 Np 0.000 0.000 0.500
Np3 Np 0.500 0.500 0.000
C1 C 0.500 0.500 0.500
```

=====

[2]
Density functional theory data (GGA-PBE) for a relaxed RbCa3Pt crystal.

Energy relative to the elements ... 1.350 eV per atom
Crystal system ... cubic
V ... 32.5 Å³/atom
Energy relative to the lowest polymorph listed for this composition ... 1727 meV/atom
Fermi-level density of states ... 9.327 states/eV/cell

```
data_RbCa3Pt
_space_group_name_H-M_alt 'P m -3 m'
_space_group_IT_number 221
_space_group_name_Hall '-P 4 2 3'
_cell_length_a 5.460
_cell_length_b 5.460
_cell_length_c 5.460
_cell_angle_alpha 90.00
_cell_angle_beta 90.00
_cell_angle_gamma 90.00
loop_
_atom_site_label
_atom_site_type_symbol
_atom_site_fract_x
_atom_site_fract_y
_atom_site_fract_z
Rb1 Rb 0.000 0.000 0.000
Ca1 Ca 0.000 0.000 0.500
Pt1 Pt 0.500 0.500 0.500
```